Material: Zn2CrSi
Method: DFT, PBE
State: optimized geometry

Total energy ... -34.380 eV/cell
E_form (uncorrected) ... 101.0 meV/atom
Crystal system ... monoclinic

Unit cell a=9.234 b=2.707 c=4.760 alpha=90.00 beta=115.43 gamma=90.00
Space group Cm (No. 8)
One atom of each set of equivalent atoms:
Zn 0.000 0.000 0.000
Zn 0.240 0.000 0.893
Cr 0.249 0.500 0.420
Si 0.482 0.000 0.465